[1]
A relaxed structure of TlHgBO4, computed with PBE-GGA.

- formation energy from raw total energies (kJ/mol of formula units) = -699

Lattice parameters (Å, degrees): 5.8273 9.4497 6.3590 90.00 90.00 90.00
Space group Cmcm (No. 63)
Inequivalent atoms, fractional coordinates:
Tl: 0.0000 0.1657 0.2500 x4
Hg: 0.0000 0.5000 0.0000 x4
B: 0.0000 0.1431 0.7500 x4
O: 0.0000 0.2398 0.5669 x8
O: 0.2057 0.0435 0.7500 x8


[2]
A relaxed structure of NaSn2PPb, computed with PBE-GGA.

- calculated formation energy (eV/atom) = 0.1604

Lattice parameters (Å, degrees): 5.3405 5.3405 5.0825 90.00 90.00 90.00
Space group P4/mmm (No. 123)
Inequivalent atoms, fractional coordinates:
Na: 0.0000 0.0000 0.0000 x1
Sn: 0.0000 0.5000 0.5000 x2
P: 0.0000 0.0000 0.5000 x1
Pb: 0.5000 0.5000 0.0000 x1


[3]
A relaxed structure of SrMg2Cd, computed with PBE-GGA.

- calculated formation energy (eV/atom) = -0.0597

Lattice parameters (Å, degrees): 3.7328 5.1446 6.2348 90.00 101.05 90.00
Space group P2/m (No. 10)
Inequivalent atoms, fractional coordinates:
Sr: 0.0000 0.0000 0.0000 x1
Mg: 0.3634 0.5000 0.7183 x2
Cd: 0.5000 0.0000 0.5000 x1


[4]
A relaxed structure of CeNi2Pt3, computed with PBE-GGA.

- polymorph energy (0 for the lowest one) (meV/atom) = 153.1
- calculated formation energy (eV/atom) = -0.4884

Lattice parameters (Å, degrees): 5.7388 5.7388 20.1956 90.00 90.00 120.00
Space group R-3m (No. 166, hexagonal axes)
Inequivalent atoms, fractional coordinates:
Ce: 0.0000 0.0000 0.2259 x6
Ni: 0.0000 0.0000 0.0000 x3
Ni: 0.0000 0.5000 0.0000 x9
Pt: 0.0060 0.5030 0.2299 x18


[5]
A relaxed structure of TbCd4, computed with PBE-GGA.

- calculated formation energy (eV/atom) = -0.1010

Lattice parameters (Å, degrees): 9.9432 9.9432 9.9432 90.00 90.00 90.00
Space group I-43m (No. 217)
Inequivalent atoms, fractional coordinates:
Tb: 0.2109 0.2109 0.2109 x8
Cd: 0.0000 0.0000 0.3476 x12
Cd: 0.0000 0.2500 0.5000 x12
Cd: 0.1092 0.1092 0.8908 x8


Number 1: density of states at the Fermi level 2.1 states/eV/cell, uncorrected energy -0.191 hartree per atom. Number 2: density of states at the Fermi level 2.0 states/eV/cell, uncorrected energy -0.130 hartree per atom. Number 3: density of states at the Fermi level 2.4 states/eV/cell, uncorrected energy -0.055 hartree per atom. Number 4: density of states at the Fermi level 41.7 states/eV/cell, uncorrected energy -0.236 hartree per atom. Number 5: density of states at the Fermi level 18.0 states/eV/cell, uncorrected energy -0.065 hartree per atom.